Entry from the Alexandria database: a relaxed structure of KAlGa6 (PBE).

a = 4.628 Å, b = 4.628 Å, c = 8.064 Å
α = 90.00°, β = 90.00°, γ = 90.00°
Space group P4/mmm (No. 123)
Inequivalent atoms, fractional coordinates:
K  0.000  0.000  0.000 x1
Al  0.000  0.000  0.500 x1
Ga  0.000  0.500  0.325 x4
Ga  0.500  0.500  0.160 x2

Properties
density of states at the Fermi level: 0.170 states/eV/atom
raw total energy: -2.9845 eV/atom
magnetization: 0.0000 μB per atom
E_form: -0.9 eV per formula unit